(1)
PBE La6SbIr2I3, relaxed; space-group type = C2/m; VASP energy = -69.3 eV for the cell shown; total moment = 0.0 μB/f.u.; formation energy (no corrections) = -1.101 eV per atom
1.0
-5.870 4.892 -0.044
-0.730 -6.876 -3.251
-0.402 -2.396 8.148
La Sb Ir I
6 1 2 3
direct
0.933 0.571 0.806
0.702 0.702 0.193
0.067 0.429 0.194
0.571 0.933 0.806
0.298 0.298 0.807
0.429 0.067 0.194
0.000 0.000 0.000
0.333 0.667 0.000
0.667 0.333 0.000
0.159 0.841 0.500
0.841 0.159 0.500
0.500 0.500 0.500



(2)
PBE La8SbIr3I4, relaxed; space-group type = C2/m; VASP energy = -93.6 eV for the cell shown; total moment = 0.0 μB/f.u.; formation energy (no corrections) = -1.082 eV per atom
1.0
-3.025 3.881 -7.269
-1.664 -8.602 -3.900
-3.746 1.693 7.763
La Sb Ir I
8 1 3 4
direct
0.244 0.690 0.947
0.243 0.690 0.486
0.270 0.312 0.541
0.704 0.690 0.947
0.296 0.310 0.053
0.730 0.688 0.459
0.757 0.310 0.514
0.756 0.310 0.053
0.000 0.500 0.000
0.500 0.500 0.000
0.500 0.500 0.500
0.000 0.500 0.500
0.500 0.000 0.000
0.500 0.000 0.500
0.000 0.000 0.000
0.000 0.000 0.500



(3)
PBE La4SbIrI2, relaxed; space-group type = P2/m; VASP energy = -44.7 eV for the cell shown; total moment = 0.0 μB/f.u.; formation energy (no corrections) = -1.110 eV per atom
1.0
-1.961 -2.579 2.876
2.166 -6.482 -4.335
6.133 1.395 5.433
La Sb Ir I
4 1 1 2
direct
0.500 0.262 0.206
0.500 0.738 0.794
0.000 0.300 0.811
0.000 0.700 0.189
0.000 0.000 0.000
0.500 0.500 0.000
0.500 0.000 0.500
0.000 0.500 0.500